1.
# Ho2ZnPb, optimized geometry, DFT PBE
data_Ho2ZnPb
_chemical_formula_sum 'Ho4 Zn2 Pb2'
_cell_length_a 6.119
_cell_length_b 4.378
_cell_length_c 8.364
_cell_angle_alpha 90.00
_cell_angle_beta 111.03
_cell_angle_gamma 90.00
_space_group_name_H-M_alt 'P 1 21/m 1'
_space_group_IT_number 11
_space_group_name_Hall '-P 2yb'
loop_
_atom_site_label
_atom_site_fract_x
_atom_site_fract_y
_atom_site_fract_z
_atom_site_occupancy
Ho1 0.198 0.250 0.437 1
Ho2 0.223 0.250 0.918 1
Zn1 0.336 0.750 0.707 1
Pb1 0.330 0.750 0.211 1
# D(E_F) (states/eV/cell): 9.0
# Total moment (Bohr magnetons per cell): 0.001
# Energy of formation from the pure elements (eV per atom): -0.383
# Crystal system: monoclinic

***

2.
# Ho2Zn2Pb, optimized geometry, DFT PBE
data_Ho2Zn2Pb
_chemical_formula_sum 'Ho4 Zn4 Pb2'
_cell_length_a 4.291
_cell_length_b 6.062
_cell_length_c 9.036
_cell_angle_alpha 90.00
_cell_angle_beta 90.00
_cell_angle_gamma 90.00
_space_group_name_H-M_alt 'I m m m'
_space_group_IT_number 71
_space_group_name_Hall '-I 2 2'
loop_
_atom_site_label
_atom_site_fract_x
_atom_site_fract_y
_atom_site_fract_z
_atom_site_occupancy
Ho1 0.000 0.000 0.214 1
Zn1 0.000 0.300 0.500 1
Pb1 0.000 0.500 0.000 1
# D(E_F) (states/eV/cell): 10.1
# Total moment (Bohr magnetons per cell): 0.794
# Energy of formation from the pure elements (eV per atom): -0.292
# Energy relative to the lowest polymorph listed for this composition (eV per formula unit): 0.53
# Crystal system: orthorhombic

***

3.
# Ho6Zn2Pb, optimized geometry, DFT PBE
data_Ho6Zn2Pb
_chemical_formula_sum 'Ho24 Zn8 Pb4'
_cell_length_a 9.379
_cell_length_b 9.672
_cell_length_c 10.837
_cell_angle_alpha 90.00
_cell_angle_beta 90.00
_cell_angle_gamma 90.00
_space_group_name_H-M_alt 'I m m m'
_space_group_IT_number 71
_space_group_name_Hall '-I 2 2'
loop_
_atom_site_label
_atom_site_fract_x
_atom_site_fract_y
_atom_site_fract_z
_atom_site_occupancy
Ho1 0.000 0.203 0.231 1
Ho2 0.197 0.500 0.182 1
Ho3 0.212 0.308 0.500 1
Zn1 0.000 0.355 0.000 1
Zn2 0.000 0.500 0.383 1
Pb1 0.000 0.000 0.000 1
Pb2 0.000 0.000 0.500 1
# D(E_F) (states/eV/cell): 35.2
# Total moment (Bohr magnetons per cell): 0.000
# Energy of formation from the pure elements (eV per atom): -0.259
# Crystal system: orthorhombic

***

4.
# Ho6Zn5Pb, optimized geometry, DFT PBE
data_Ho6Zn5Pb
_chemical_formula_sum 'Ho12 Zn10 Pb2'
_cell_length_a 5.087
_cell_length_b 7.203
_cell_length_c 15.328
_cell_angle_alpha 90.00
_cell_angle_beta 90.00
_cell_angle_gamma 90.00
_space_group_name_H-M_alt 'I m m m'
_space_group_IT_number 71
_space_group_name_Hall '-I 2 2'
loop_
_atom_site_label
_atom_site_fract_x
_atom_site_fract_y
_atom_site_fract_z
_atom_site_occupancy
Ho1 0.000 0.236 0.000 1
Ho2 0.000 0.257 0.328 1
Zn1 0.000 0.000 0.168 1
Zn2 0.000 0.500 0.170 1
Zn3 0.000 0.500 0.500 1
Pb1 0.000 0.000 0.500 1
# D(E_F) (states/eV/cell): 22.3
# Total moment (Bohr magnetons per cell): 0.001
# Energy of formation from the pure elements (eV per atom): -0.356
# Crystal system: orthorhombic

***

5.
# HoZnPb2, optimized geometry, DFT PBE
data_HoZnPb2
_chemical_formula_sum 'Ho1 Zn1 Pb2'
_cell_length_a 4.751
_cell_length_b 4.751
_cell_length_c 4.472
_cell_angle_alpha 90.00
_cell_angle_beta 90.00
_cell_angle_gamma 90.00
_space_group_name_H-M_alt 'P 4/m m m'
_space_group_IT_number 123
_space_group_name_Hall '-P 4 2'
loop_
_atom_site_label
_atom_site_fract_x
_atom_site_fract_y
_atom_site_fract_z
_atom_site_occupancy
Ho1 0.000 0.000 0.000 1
Zn1 0.500 0.500 0.000 1
Pb1 0.000 0.500 0.500 1
# D(E_F) (states/eV/cell): 1.8
# Total moment (Bohr magnetons per cell): 0.000
# Energy of formation from the pure elements (eV per atom): -0.238
# Energy relative to the lowest polymorph listed for this composition (eV per formula unit): 0.00
# Crystal system: tetragonal

***

6.
# Ho5Zn4Pb, optimized geometry, DFT PBE
data_Ho5Zn4Pb
_chemical_formula_sum 'Ho5 Zn4 Pb1'
_cell_length_a 3.581
_cell_length_b 3.581
_cell_length_c 18.304
_cell_angle_alpha 90.00
_cell_angle_beta 90.00
_cell_angle_gamma 90.00
_space_group_name_H-M_alt 'P 4/m m m'
_space_group_IT_number 123
_space_group_name_Hall '-P 4 2'
loop_
_atom_site_label
_atom_site_fract_x
_atom_site_fract_y
_atom_site_fract_z
_atom_site_occupancy
Ho1 0.000 0.000 0.000 1
Ho2 0.000 0.000 0.191 1
Ho3 0.000 0.000 0.381 1
Zn1 0.500 0.500 0.097 1
Zn2 0.500 0.500 0.284 1
Pb1 0.500 0.500 0.500 1
# D(E_F) (states/eV/cell): 8.7
# Total moment (Bohr magnetons per cell): 0.000
# Energy of formation from the pure elements (eV per atom): -0.364
# Crystal system: tetragonal